Here is an optimized crystal structure of PtW2 from Alexandria. Energies are from PBE-GGA.

Properties
The space group is I4/mmm, No. 139. Its total DFT energy (no corrections) is -10.486 eV/atom. For the total magnetization, the calculation gives 0.0 μB/cell. The energy relative to the elements comes out at 162.8 meV/atom. The mass density is 19.22 Mg/m³. Its energy above the most stable polymorph in this dataset is 0.2394 eV per atom.

Unit cell a=3.3355 b=4.9653 c=3.3355 alpha=70.37 beta=90.00 gamma=109.63
Last column: nearest neighbours and their distance in Å.
Positions (direct):
Pt (0.0000, 0.0000, 0.0000)  10 W 2.80-2.85
W (0.3265, 0.6531, 0.6735)  5 W 2.71-3.03, 5 Pt 2.80-2.85
W (0.6735, 0.3469, 0.3265)  5 W 2.71-3.03, 5 Pt 2.80-2.85